Material: LaBe2P
Method: DFT, PBE-GGA
State: relaxed

a b c (Å): 4.025 5.757 4.020
angles (deg): 69.86 89.22 110.17
Sites, in units of the cell vectors:
Be (0.000, 0.000, 0.000)
Be (0.500, 0.000, 0.500)
La (0.000, 0.500, 0.500)
P (0.500, 0.500, 0.000)

Results
- D(E_F) (states/eV/cell) = 1.754
- formation enthalpy at 0 K (meV per atom) = 361
- raw total energy (eV per atom) = -4.086
- magnetic moment (Bohr magnetons per cell) = 0.00

=====

Material: Li4Cl
Method: DFT, PBE-GGA
State: relaxed

a b c (Å): 5.132 5.132 5.132
angles (deg): 109.47 109.47 109.47
Sites, in units of the cell vectors:
Li (0.500, 0.000, 0.000)
Li (0.000, 0.000, 0.500)
Li (0.000, 0.500, 0.000)
Li (0.500, 0.500, 0.500)
Cl (0.000, 0.000, 0.000)

Results
- D(E_F) (states/eV/cell) = 3.011
- energy relative to the elements, uncorrected (kcal/mol of atoms) = -9.9
- raw total energy (eV per atom) = -2.332
- magnetic moment (Bohr magnetons per cell) = 0.29

=====

Material: BeSbF2
Method: DFT, PBE-GGA
State: relaxed

a b c (Å): 4.343 4.343 4.343
angles (deg): 60.00 60.00 60.00
Sites, in units of the cell vectors:
F (0.750, 0.750, 0.750)
F (0.250, 0.250, 0.250)
Sb (0.500, 0.500, 0.500)
Be (0.000, 0.000, 0.000)

Results
- D(E_F) (states/eV/cell) = 2.591
- energy relative to the elements, uncorrected (kcal/mol of atoms) = -10.1
- raw total energy (eV per atom) = -3.335
- magnetic moment (Bohr magnetons per cell) = 0.00

=====

Material: BaY2Zn2
Method: DFT, PBE-GGA
State: relaxed

a b c (Å): 5.378 5.378 6.886
angles (deg): 67.01 67.01 90.00
Sites, in units of the cell vectors:
Zn (0.250, 0.750, 0.500)
Zn (0.750, 0.250, 0.500)
Y (0.343, 0.343, 0.314)
Y (0.657, 0.657, 0.686)
Ba (0.000, 0.000, 0.000)

Results
- D(E_F) (states/eV/cell) = 9.001
- formation enthalpy at 0 K (meV per atom) = 53
- raw total energy (eV per atom) = -3.427
- magnetic moment (Bohr magnetons per cell) = 0.62

=====

Material: ScBi3Ru
Method: DFT, PBE-GGA
State: relaxed

a b c (Å): 5.302 5.302 5.302
angles (deg): 90.00 90.00 90.00
Sites, in units of the cell vectors:
Bi (0.000, 0.500, 0.000)
Bi (0.500, 0.000, 0.000)
Bi (0.000, 0.000, 0.500)
Ru (0.000, 0.000, 0.000)
Sc (0.500, 0.500, 0.500)

Results
- D(E_F) (states/eV/cell) = 6.125
- formation enthalpy at 0 K (meV per atom) = 455
- raw total energy (eV per atom) = -4.995
- magnetic moment (Bohr magnetons per cell) = 1.26

=====

Material: Ce3Os5N12
Method: DFT, PBE-GGA
State: relaxed

a b c (Å): 11.085 11.085 11.085
angles (deg): 109.47 109.47 109.47
Sites, in units of the cell vectors:
Os (0.000, 0.500, 0.500)
Os (0.000, 0.000, 0.000)
Os (0.500, 0.500, 0.000)
Os (0.125, 0.750, 0.375)
Os (0.500, 0.000, 0.500)
Os (0.375, 0.125, 0.750)
Os (0.500, 0.000, 0.000)
Os (0.250, 0.375, 0.625)
Os (0.000, 0.000, 0.500)
Os (0.625, 0.750, 0.875)
Os (0.500, 0.500, 0.500)
Os (0.250, 0.875, 0.125)
Os (0.000, 0.500, 0.000)
Os (0.625, 0.875, 0.250)
Os (0.875, 0.250, 0.625)
Os (0.750, 0.125, 0.875)
Os (0.875, 0.625, 0.750)
Os (0.125, 0.375, 0.250)
Os (0.375, 0.250, 0.125)
Os (0.750, 0.625, 0.375)
N (0.484, 0.805, 0.880)
N (0.805, 0.484, 0.380)
N (0.380, 0.984, 0.805)
N (0.075, 0.179, 0.195)
N (0.104, 0.925, 0.120)
N (0.695, 0.575, 0.179)
N (0.821, 0.896, 0.016)
N (0.679, 0.484, 0.604)
N (0.516, 0.195, 0.120)
N (0.575, 0.695, 0.679)
N (0.805, 0.321, 0.925)
N (0.321, 0.516, 0.396)
N (0.425, 0.120, 0.604)
N (0.695, 0.120, 0.016)
N (0.620, 0.604, 0.925)
N (0.075, 0.896, 0.380)
N (0.396, 0.016, 0.321)
N (0.321, 0.805, 0.425)
N (0.896, 0.821, 0.516)
N (0.925, 0.104, 0.620)
N (0.604, 0.984, 0.679)
N (0.016, 0.620, 0.695)
N (0.821, 0.925, 0.305)
N (0.516, 0.321, 0.896)
N (0.179, 0.104, 0.984)
N (0.620, 0.016, 0.195)
N (0.120, 0.425, 0.104)
N (0.984, 0.604, 0.179)
N (0.305, 0.880, 0.984)
N (0.925, 0.821, 0.805)
N (0.679, 0.195, 0.575)
N (0.104, 0.179, 0.484)
N (0.880, 0.305, 0.484)
N (0.575, 0.880, 0.396)
N (0.120, 0.695, 0.516)
N (0.604, 0.620, 0.425)
N (0.425, 0.305, 0.321)
N (0.880, 0.575, 0.896)
N (0.896, 0.075, 0.880)
N (0.484, 0.679, 0.104)
N (0.195, 0.679, 0.075)
N (0.984, 0.380, 0.305)
N (0.195, 0.516, 0.620)
N (0.179, 0.075, 0.695)
N (0.396, 0.380, 0.575)
N (0.016, 0.396, 0.821)
N (0.305, 0.425, 0.821)
N (0.380, 0.396, 0.075)
Ce (0.875, 0.750, 0.125)
Ce (0.875, 0.125, 0.250)
Ce (0.250, 0.625, 0.875)
Ce (0.750, 0.875, 0.625)
Ce (0.125, 0.875, 0.750)
Ce (0.625, 0.250, 0.375)
Ce (0.125, 0.250, 0.875)
Ce (0.375, 0.750, 0.625)
Ce (0.750, 0.375, 0.125)
Ce (0.250, 0.125, 0.375)
Ce (0.625, 0.375, 0.750)
Ce (0.375, 0.625, 0.250)

Results
- D(E_F) (states/eV/cell) = 63.068
- energy relative to the elements, uncorrected (kcal/mol of atoms) = -6.3
- raw total energy (eV per atom) = -8.967
- magnetic moment (Bohr magnetons per cell) = 0.00

=====

- Among the records above, which one has the highest raw total energy?
  Li4Cl

=====

- Look up the raw total energy of the first one.
  -4.086 eV per atom